{"formula": "RbNpNiO6", "functional": "PBE+U", "state": "optimized geometry", "energy_ev_per_atom": -6.8206, "magmom_total_mub_per_cell": 0.00, "space_group": "P312", "lattice": [[5.205, 0.000, 0.000], [-2.602, 4.507, 0.000], [0.000, 0.000, 6.422]], "species": ["Rb", "Np", "Ni", "O", "O", "O", "O", "O", "O"], "fractional_positions": [[0.000, 0.000, 0.000], [0.667, 0.333, 0.500], [0.333, 0.667, 0.500], [0.018, 0.384, 0.668], [0.018, 0.634, 0.332], [0.366, 0.384, 0.332], [0.366, 0.982, 0.668], [0.616, 0.634, 0.668], [0.616, 0.982, 0.332]]}